[1]
! PBE ZnCo2Si, relaxed; values from VASP
! Energy relative to the elements, uncorrected, eV/f.u.: 0.64
&SYSTEM
  ibrav = 0, nat = 8, ntyp = 3
/
ATOMIC_SPECIES
Zn 65.41 Zn.upf
Co 58.93 Co.upf
Si 28.09 Si.upf
CELL_PARAMETERS angstrom
6.329 0.000 0.000
0.000 6.329 0.000
3.164 3.164 2.550
ATOMIC_POSITIONS crystal
Zn 0.000 0.000 0.000
Zn 0.750 0.250 0.500
Co 0.590 0.125 0.250
Co 0.160 0.625 0.250
Co 0.375 0.410 0.750
Co 0.875 0.840 0.750
Si 0.500 0.500 0.000
Si 0.250 0.750 0.500

=====

[2]
! PBE MoSeCl2, relaxed; values from VASP
! Energy relative to the elements, uncorrected, eV/f.u.: 2.88
&SYSTEM
  ibrav = 0, nat = 4, ntyp = 3
/
ATOMIC_SPECIES
Mo 95.94 Mo.upf
Se 78.96 Se.upf
Cl 35.45 Cl.upf
CELL_PARAMETERS angstrom
-0.159 -3.132 2.919
4.208 0.423 0.684
-0.807 2.961 3.133
ATOMIC_POSITIONS crystal
Mo 0.500 0.000 0.500
Se 0.000 0.500 0.500
Cl 0.000 0.000 0.000
Cl 0.500 0.500 0.000

=====

[3]
! PBE YSc2Be, relaxed; values from VASP
! Calculated formation energy, eV per formula unit: 0.36
&SYSTEM
  ibrav = 0, nat = 4, ntyp = 3
/
ATOMIC_SPECIES
Y 88.91 Y.upf
Sc 44.96 Sc.upf
Be 9.01 Be.upf
CELL_PARAMETERS angstrom
-4.932 0.276 -3.530
-2.303 -0.662 -5.579
-2.089 -4.291 -0.716
ATOMIC_POSITIONS crystal
Y 0.538 0.538 0.462
Sc 0.951 0.951 0.050
Sc 0.750 0.750 0.750
Be 0.261 0.261 0.238

=====

[4]
! PBE ScH2Pt, relaxed; values from VASP
! E, eV per formula unit: -20.83
&SYSTEM
  ibrav = 0, nat = 8, ntyp = 3
/
ATOMIC_SPECIES
Sc 44.96 Sc.upf
H 1.01 H.upf
Pt 195.08 Pt.upf
CELL_PARAMETERS angstrom
4.231 0.000 0.000
0.000 4.231 0.000
2.116 2.116 4.893
ATOMIC_POSITIONS crystal
Sc 0.500 0.500 0.000
Sc 0.250 0.750 0.500
H 0.689 0.125 0.250
H 0.061 0.625 0.250
H 0.375 0.311 0.750
H 0.875 0.939 0.750
Pt 0.000 0.000 0.000
Pt 0.750 0.250 0.500

=====

[5]
! PBE Cr2ReSe, relaxed; values from VASP
! Energy relative to the elements, uncorrected, eV/f.u.: 2.51
&SYSTEM
  ibrav = 0, nat = 4, ntyp = 3
/
ATOMIC_SPECIES
Cr 52.00 Cr.upf
Re 186.21 Re.upf
Se 78.96 Se.upf
CELL_PARAMETERS angstrom
-1.701 2.190 0.088
-1.002 -2.137 -1.459
-3.663 -3.131 7.100
ATOMIC_POSITIONS crystal
Cr 0.000 0.000 0.980
Cr 0.500 0.500 0.487
Re 0.000 0.000 0.267
Se 0.500 0.500 0.767

=====

[6]
! PBE OsC2, relaxed; values from VASP
! Calculated formation energy, eV per formula unit: 4.15
&SYSTEM
  ibrav = 0, nat = 6, ntyp = 2
/
ATOMIC_SPECIES
Os 190.23 Os.upf
C 12.01 C.upf
CELL_PARAMETERS angstrom
5.024 0.000 0.000
0.000 5.024 0.000
0.000 0.000 2.785
ATOMIC_POSITIONS crystal
Os 0.500 0.500 0.000
Os 0.000 0.000 0.500
C 0.790 0.790 0.000
C 0.210 0.210 0.000
C 0.290 0.710 0.500
C 0.710 0.290 0.500

=====

[7]
! PBE In2CoPt, relaxed; values from VASP
! Calculated formation energy, eV per formula unit: 0.70
&SYSTEM
  ibrav = 0, nat = 4, ntyp = 3
/
ATOMIC_SPECIES
Co 58.93 Co.upf
In 114.82 In.upf
Pt 195.08 Pt.upf
CELL_PARAMETERS angstrom
-7.834 4.384 0.505
-8.869 1.473 0.154
-8.101 2.520 2.979
ATOMIC_POSITIONS crystal
Co 0.755 0.755 0.755
In 0.010 0.010 0.010
In 0.242 0.242 0.242
Pt 0.492 0.492 0.492

=====

[8]
! PBE Dy12Ag3C5, relaxed; values from VASP
! Calculated formation energy, eV per formula unit: -1.65
&SYSTEM
  ibrav = 0, nat = 80, ntyp = 3
/
ATOMIC_SPECIES
C 12.01 C.upf
Ag 107.87 Ag.upf
Dy 162.50 Dy.upf
CELL_PARAMETERS angstrom
-12.578 -3.239 4.096
7.683 -11.238 -0.387
5.454 8.930 8.716
ATOMIC_POSITIONS crystal
C 0.125 0.375 0.250
C 0.000 0.500 0.000
C 0.000 0.000 0.000
C 0.375 0.250 0.125
C 0.500 0.000 0.500
C 0.500 0.500 0.000
C 0.125 0.750 0.375
C 0.750 0.125 0.875
C 0.750 0.625 0.375
C 0.375 0.125 0.750
C 0.625 0.875 0.250
C 0.500 0.500 0.500
C 0.500 0.000 0.000
C 0.000 0.000 0.500
C 0.250 0.375 0.625
C 0.250 0.875 0.125
C 0.000 0.500 0.500
C 0.875 0.250 0.625
C 0.625 0.750 0.875
C 0.875 0.625 0.750
Ag 0.750 0.375 0.125
Ag 0.875 0.750 0.125
Ag 0.375 0.750 0.625
Ag 0.250 0.125 0.375
Ag 0.875 0.125 0.250
Ag 0.375 0.625 0.250
Ag 0.625 0.375 0.750
Ag 0.125 0.875 0.750
Ag 0.750 0.875 0.625
Ag 0.625 0.250 0.375
Ag 0.125 0.250 0.875
Ag 0.250 0.625 0.875
Dy 0.701 0.115 0.019
Dy 0.318 0.519 0.404
Dy 0.981 0.385 0.299
Dy 0.519 0.201 0.115
Dy 0.586 0.701 0.682
Dy 0.981 0.596 0.182
Dy 0.318 0.799 0.414
Dy 0.096 0.914 0.115
Dy 0.596 0.981 0.682
Dy 0.701 0.586 0.182
Dy 0.799 0.481 0.385
Dy 0.818 0.904 0.019
Dy 0.115 0.701 0.519
Dy 0.385 0.404 0.086
Dy 0.086 0.904 0.385
Dy 0.414 0.115 0.596
Dy 0.086 0.182 0.201
Dy 0.481 0.682 0.096
Dy 0.818 0.914 0.299
Dy 0.115 0.414 0.096
Dy 0.385 0.981 0.799
Dy 0.596 0.615 0.414
Dy 0.904 0.818 0.519
Dy 0.799 0.318 0.914
Dy 0.404 0.385 0.586
Dy 0.096 0.182 0.481
Dy 0.201 0.682 0.086
Dy 0.182 0.086 0.701
Dy 0.615 0.019 0.201
Dy 0.885 0.586 0.904
Dy 0.519 0.318 0.904
Dy 0.586 0.885 0.404
Dy 0.914 0.818 0.799
Dy 0.914 0.096 0.615
Dy 0.885 0.299 0.481
Dy 0.182 0.096 0.981
Dy 0.615 0.596 0.914
Dy 0.404 0.019 0.318
Dy 0.299 0.414 0.818
Dy 0.201 0.519 0.615
Dy 0.904 0.086 0.885
Dy 0.682 0.201 0.586
Dy 0.481 0.799 0.885
Dy 0.019 0.404 0.818
Dy 0.414 0.299 0.318
Dy 0.019 0.615 0.701
Dy 0.682 0.481 0.596
Dy 0.299 0.885 0.981

=====

[9]
! PBE Al3Hg12Bi5, relaxed; values from VASP
! Calculated formation energy, eV per formula unit: 3.74
&SYSTEM
  ibrav = 0, nat = 80, ntyp = 3
/
ATOMIC_SPECIES
Al 26.98 Al.upf
Bi 208.98 Bi.upf
Hg 200.59 Hg.upf
CELL_PARAMETERS angstrom
14.739 0.000 0.000
-4.913 13.896 0.000
-4.913 -6.948 12.034
ATOMIC_POSITIONS crystal
Al 0.750 0.375 0.125
Al 0.875 0.750 0.125
Al 0.375 0.750 0.625
Al 0.250 0.125 0.375
Al 0.875 0.125 0.250
Al 0.375 0.625 0.250
Al 0.625 0.375 0.750
Al 0.125 0.875 0.750
Al 0.750 0.875 0.625
Al 0.625 0.250 0.375
Al 0.125 0.250 0.875
Al 0.250 0.625 0.875
Bi 0.125 0.375 0.250
Bi 0.000 0.500 0.000
Bi 0.000 0.000 0.000
Bi 0.375 0.250 0.125
Bi 0.500 0.000 0.500
Bi 0.500 0.500 0.000
Bi 0.125 0.750 0.375
Bi 0.750 0.125 0.875
Bi 0.750 0.625 0.375
Bi 0.375 0.125 0.750
Bi 0.625 0.875 0.250
Bi 0.500 0.500 0.500
Bi 0.500 0.000 0.000
Bi 0.000 0.000 0.500
Bi 0.250 0.375 0.625
Bi 0.250 0.875 0.125
Bi 0.000 0.500 0.500
Bi 0.875 0.250 0.625
Bi 0.625 0.750 0.875
Bi 0.875 0.625 0.750
Hg 0.746 0.128 0.072
Hg 0.326 0.572 0.444
Hg 0.928 0.372 0.254
Hg 0.572 0.246 0.128
Hg 0.617 0.746 0.674
Hg 0.928 0.556 0.174
Hg 0.326 0.754 0.383
Hg 0.056 0.883 0.128
Hg 0.556 0.928 0.674
Hg 0.746 0.617 0.174
Hg 0.754 0.428 0.372
Hg 0.826 0.944 0.072
Hg 0.128 0.746 0.572
Hg 0.372 0.444 0.117
Hg 0.117 0.944 0.372
Hg 0.383 0.128 0.556
Hg 0.117 0.174 0.246
Hg 0.428 0.674 0.056
Hg 0.826 0.883 0.254
Hg 0.128 0.383 0.056
Hg 0.372 0.928 0.754
Hg 0.556 0.628 0.383
Hg 0.944 0.826 0.572
Hg 0.754 0.326 0.883
Hg 0.444 0.372 0.617
Hg 0.056 0.174 0.428
Hg 0.246 0.674 0.117
Hg 0.174 0.117 0.746
Hg 0.628 0.072 0.246
Hg 0.872 0.617 0.944
Hg 0.572 0.326 0.944
Hg 0.617 0.872 0.444
Hg 0.883 0.826 0.754
Hg 0.883 0.056 0.628
Hg 0.872 0.254 0.428
Hg 0.174 0.056 0.928
Hg 0.628 0.556 0.883
Hg 0.444 0.072 0.326
Hg 0.254 0.383 0.826
Hg 0.246 0.572 0.628
Hg 0.944 0.117 0.872
Hg 0.674 0.246 0.617
Hg 0.428 0.754 0.872
Hg 0.072 0.444 0.826
Hg 0.383 0.254 0.326
Hg 0.072 0.628 0.746
Hg 0.674 0.428 0.556
Hg 0.254 0.872 0.928

=====

[10]
! PBE KInFe2, relaxed; values from VASP
! Calculated formation energy, eV per formula unit: 2.66
&SYSTEM
  ibrav = 0, nat = 4, ntyp = 3
/
ATOMIC_SPECIES
Fe 55.84 Fe.upf
In 114.82 In.upf
K 39.10 K.upf
CELL_PARAMETERS angstrom
6.152 0.007 -0.002
3.027 5.355 0.002
-3.725 -4.161 2.580
ATOMIC_POSITIONS crystal
Fe 0.945 0.945 0.000
Fe 0.777 0.277 0.500
In 0.540 0.540 0.000
K 0.238 0.738 0.500

=====

[11]
! PBE HfHgN2O, relaxed; values from VASP
! Energy relative to the elements, uncorrected, eV/f.u.: -0.63
&SYSTEM
  ibrav = 0, nat = 5, ntyp = 4
/
ATOMIC_SPECIES
Hf 178.49 Hf.upf
Hg 200.59 Hg.upf
O 16.00 O.upf
N 14.01 N.upf
CELL_PARAMETERS angstrom
-2.963 -0.990 -3.006
3.165 -0.891 -2.826
0.026 -3.845 1.241
ATOMIC_POSITIONS crystal
Hf 0.000 0.000 0.000
Hg 0.500 0.500 0.500
O 0.000 0.000 0.500
N 0.000 0.500 0.000
N 0.500 0.000 0.000

=====

[12]
! PBE Th4OsSe3, relaxed; values from VASP
! Energy relative to the elements, uncorrected, eV/f.u.: -10.33
&SYSTEM
  ibrav = 0, nat = 16, ntyp = 3
/
ATOMIC_SPECIES
Os 190.23 Os.upf
Se 78.96 Se.upf
Th 232.04 Th.upf
CELL_PARAMETERS angstrom
7.236 0.064 0.000
-2.477 6.993 0.000
0.000 0.000 8.517
ATOMIC_POSITIONS crystal
Os 0.750 0.000 0.873
Os 0.250 0.000 0.127
Se 0.750 0.000 0.372
Se 0.250 0.000 0.628
Se 0.750 0.500 0.622
Se 0.750 0.500 0.131
Se 0.250 0.500 0.378
Se 0.250 0.500 0.869
Th 0.987 0.236 0.633
Th 0.507 0.224 0.887
Th 0.487 0.236 0.367
Th 0.007 0.224 0.113
Th 0.993 0.776 0.887
Th 0.513 0.764 0.633
Th 0.493 0.776 0.113
Th 0.013 0.764 0.367

=====

[13]
! PBE BaZr2Rh2, relaxed; values from VASP
! Calculated formation energy, eV per formula unit: -1.46
&SYSTEM
  ibrav = 0, nat = 10, ntyp = 3
/
ATOMIC_SPECIES
Rh 102.91 Rh.upf
Ba 137.33 Ba.upf
Zr 91.22 Zr.upf
CELL_PARAMETERS angstrom
-7.067 2.031 -3.913
3.634 -1.505 -7.343
-0.934 -2.969 0.146
ATOMIC_POSITIONS crystal
Rh 0.144 0.644 0.500
Rh 0.644 0.856 0.500
Rh 0.856 0.356 0.500
Rh 0.356 0.144 0.500
Ba 0.000 0.000 0.000
Ba 0.500 0.500 0.000
Zr 0.361 0.861 0.000
Zr 0.861 0.639 0.000
Zr 0.639 0.139 0.000
Zr 0.139 0.361 0.000

=====

[14]
! PBE PRuPbO2, relaxed; values from VASP
! Energy relative to the elements, uncorrected, eV/f.u.: -1.74
&SYSTEM
  ibrav = 0, nat = 5, ntyp = 4
/
ATOMIC_SPECIES
Pb 207.20 Pb.upf
Ru 101.07 Ru.upf
O 16.00 O.upf
P 30.97 P.upf
CELL_PARAMETERS angstrom
3.920 0.000 0.000
0.000 3.920 0.000
0.000 0.000 5.085
ATOMIC_POSITIONS crystal
Pb 0.500 0.500 0.500
Ru 0.000 0.000 0.000
O 0.000 0.500 0.000
O 0.500 0.000 0.000
P 0.000 0.000 0.500

=====

[15]
! PBE NaHoGa2Cl6, relaxed; values from VASP
! Energy relative to the elements, uncorrected, eV/f.u.: -15.63
&SYSTEM
  ibrav = 0, nat = 20, ntyp = 4
/
ATOMIC_SPECIES
Na 22.99 Na.upf
Ho 164.93 Ho.upf
Ga 69.72 Ga.upf
Cl 35.45 Cl.upf
CELL_PARAMETERS angstrom
-2.920 5.293 3.672
-5.691 0.433 -5.151
-5.613 -6.608 5.646
ATOMIC_POSITIONS crystal
Na 0.500 0.000 0.000
Na 0.000 0.500 0.500
Ho 0.500 0.000 0.500
Ho 0.000 0.500 0.000
Ga 0.016 0.920 0.280
Ga 0.516 0.580 0.780
Ga 0.984 0.080 0.720
Ga 0.484 0.420 0.220
Cl 0.312 0.678 0.040
Cl 0.812 0.822 0.540
Cl 0.688 0.322 0.960
Cl 0.188 0.178 0.460
Cl 0.320 0.717 0.428
Cl 0.820 0.783 0.928
Cl 0.680 0.283 0.572
Cl 0.180 0.217 0.072
Cl 0.879 0.551 0.241
Cl 0.379 0.949 0.741
Cl 0.121 0.449 0.759
Cl 0.621 0.051 0.259

=====

[16]
! PBE LaCuTe, relaxed; values from VASP
! Energy relative to the elements, uncorrected, eV/f.u.: -2.12
&SYSTEM
  ibrav = 0, nat = 6, ntyp = 3
/
ATOMIC_SPECIES
La 138.91 La.upf
Te 127.60 Te.upf
Cu 63.55 Cu.upf
CELL_PARAMETERS angstrom
4.573 0.000 0.000
2.287 3.961 0.000
2.287 1.320 10.829
ATOMIC_POSITIONS crystal
La 0.560 0.560 0.320
La 0.440 0.440 0.680
Te 0.277 0.277 0.169
Te 0.723 0.723 0.831
Cu 0.830 0.830 0.510
Cu 0.170 0.170 0.490

=====

[17]
! PBE Sc2MnCdRu, relaxed; values from VASP
! Calculated formation energy, eV per formula unit: 1.66
&SYSTEM
  ibrav = 0, nat = 5, ntyp = 4
/
ATOMIC_SPECIES
Sc 44.96 Sc.upf
Ru 101.07 Ru.upf
Mn 54.94 Mn.upf
Cd 112.41 Cd.upf
CELL_PARAMETERS angstrom
-2.829 2.208 3.243
-4.161 -2.592 -1.865
0.817 -3.578 3.149
ATOMIC_POSITIONS crystal
Sc 0.000 0.000 0.500
Sc 0.500 0.000 0.000
Ru 0.000 0.000 0.000
Mn 0.500 0.500 0.500
Cd 0.000 0.500 0.000

=====

[18]
! PBE YGaCuNi3, relaxed; values from VASP
! Calculated formation energy, eV per formula unit: -1.01
&SYSTEM
  ibrav = 0, nat = 12, ntyp = 4
/
ATOMIC_SPECIES
Y 88.91 Y.upf
Ga 69.72 Ga.upf
Cu 63.55 Cu.upf
Ni 58.69 Ni.upf
CELL_PARAMETERS angstrom
-3.810 3.909 1.190
-1.091 -2.454 4.569
4.823 4.543 0.518
ATOMIC_POSITIONS crystal
Y 0.750 0.313 0.627
Y 0.250 0.687 0.373
Ga 0.250 0.362 0.725
Ga 0.750 0.638 0.275
Cu 0.250 0.898 0.796
Cu 0.750 0.102 0.204
Ni 0.250 0.142 0.284
Ni 0.000 0.267 0.000
Ni 0.500 0.733 0.000
Ni 0.500 0.267 0.000
Ni 0.000 0.733 0.000
Ni 0.750 0.858 0.716